DFT (PBE-GGA) results for a relaxed AsPSeO2 crystal.

Lattice parameters (Å, degrees): 3.8207 3.8207 5.0307 90.00 90.00 90.00
Last column: nearest neighbours and their distance in Å.
Positions (direct):
P (0.0000, 0.0000, 0.5000)  2 Se 2.52, 4 As 2.70
As (0.5000, 0.5000, 0.5000)  4 P 2.70
O (0.0000, 0.5000, 0.0000)  2 Se 1.91
O (0.5000, 0.0000, 0.0000)  2 Se 1.91
Se (0.0000, 0.0000, 0.0000)  4 O 1.91

Values from the calculation:
Size of the total moment (μB per formula unit): 0.05
Energy (eV for the cell shown): -22.4
Formation energy (no corrections) (kJ per mole of atoms): 20
Energy above the most stable polymorph in this dataset (meV/atom): 356.4

DFT (PBE-GGA) results for a relaxed AsP2SeO crystal.

Lattice parameters (Å, degrees): 4.8627 4.8627 3.6907 90.00 90.00 90.00
Last column: nearest neighbours and their distance in Å.
Positions (direct):
P (0.0000, 0.5000, 0.0000)  2 Se 2.43
P (0.5000, 0.0000, 0.0000)  2 Se 2.43
As (0.5000, 0.5000, 0.5000)  8 P 3.05
O (0.0000, 0.0000, 0.5000)  2 Se 1.85
Se (0.0000, 0.0000, 0.0000)  2 O 1.85

Values from the calculation:
Size of the total moment (μB per formula unit): 0.00
Energy (eV for the cell shown): -20.9
Formation energy (no corrections) (kJ per mole of atoms): 58
Energy above the most stable polymorph in this dataset (meV/atom): 161.8

DFT (PBE-GGA) results for a relaxed AsPSeO2 crystal.

Lattice parameters (Å, degrees): 3.6327 3.6327 5.7512 90.00 90.00 90.00
Last column: nearest neighbours and their distance in Å.
Positions (direct):
P (0.0000, 0.0000, 0.5000)  4 Se 2.57, 2 As 2.88
As (0.0000, 0.0000, 0.0000)  4 O 1.82
O (0.0000, 0.5000, 0.0000)  2 As 1.82
O (0.5000, 0.0000, 0.0000)  2 As 1.82
Se (0.5000, 0.5000, 0.5000)  4 P 2.57

Values from the calculation:
Size of the total moment (μB per formula unit): 0.00
Energy (eV for the cell shown): -24.2
Formation energy (no corrections) (kJ per mole of atoms): -14
Energy above the most stable polymorph in this dataset (meV/atom): 0.0

DFT (PBE-GGA) results for a relaxed SnAsPO2 crystal.

Lattice parameters (Å, degrees): 3.9496 3.9496 5.3680 90.00 90.00 90.00
Last column: nearest neighbours and their distance in Å.
Positions (direct):
P (0.0000, 0.0000, 0.5000)  2 Sn 2.68, 4 As 2.79
As (0.5000, 0.5000, 0.5000)  4 P 2.79
Sn (0.0000, 0.0000, 0.0000)  4 O 1.97
O (0.0000, 0.5000, 0.0000)  2 Sn 1.97
O (0.5000, 0.0000, 0.0000)  2 Sn 1.97

Values from the calculation:
Size of the total moment (μB per formula unit): 0.00
Energy (eV for the cell shown): -24.7
Formation energy (no corrections) (kJ per mole of atoms): -13
Energy above the most stable polymorph in this dataset (meV/atom): 220.4

DFT (PBE-GGA) results for a relaxed SnAsPO2 crystal.

Lattice parameters (Å, degrees): 3.8987 3.8987 4.8562 90.00 90.00 90.00
Last column: nearest neighbours and their distance in Å.
Positions (direct):
P (0.0000, 0.0000, 0.5000)  2 As 2.43
As (0.0000, 0.0000, 0.0000)  4 O 1.95
Sn (0.5000, 0.5000, 0.5000)  4 P 2.76
O (0.0000, 0.5000, 0.0000)  2 As 1.95
O (0.5000, 0.0000, 0.0000)  2 As 1.95

Values from the calculation:
Size of the total moment (μB per formula unit): 0.00
Energy (eV for the cell shown): -25.8
Formation energy (no corrections) (kJ per mole of atoms): -34
Energy above the most stable polymorph in this dataset (meV/atom): 0.0

DFT (PBE-GGA) results for a relaxed SrAsP2O crystal.

Lattice parameters (Å, degrees): 4.9928 4.9928 3.9547 90.00 90.00 90.00
Last column: nearest neighbours and their distance in Å.
Positions (direct):
Sr (0.5000, 0.5000, 0.5000)  8 P 3.18, 4 O 3.53
As (0.0000, 0.0000, 0.0000)  2 O 1.98
O (0.0000, 0.0000, 0.5000)  2 As 1.98
P (0.0000, 0.5000, 0.0000)  2 As 2.50
P (0.5000, 0.0000, 0.0000)  2 As 2.50

Values from the calculation:
Size of the total moment (μB per formula unit): 0.48
Energy (eV for the cell shown): -23.3
Formation energy (no corrections) (kJ per mole of atoms): -22
Energy above the most stable polymorph in this dataset (meV/atom): 0.0

DFT (PBE-GGA) results for a relaxed SrAsPO2 crystal.

Lattice parameters (Å, degrees): 4.3690 4.3690 7.0079 90.00 90.00 90.00
Last column: nearest neighbours and their distance in Å.
Positions (direct):
Sr (0.0000, 0.0000, 0.0000)  4 O 2.18
As (0.5000, 0.5000, 0.5000)  4 P 3.09
O (0.0000, 0.5000, 0.0000)  2 Sr 2.18
O (0.5000, 0.0000, 0.0000)  2 Sr 2.18
P (0.0000, 0.0000, 0.5000)  4 As 3.09

Values from the calculation:
Size of the total moment (μB per formula unit): 1.83
Energy (eV for the cell shown): -20.2
Formation energy (no corrections) (kJ per mole of atoms): 28
Energy above the most stable polymorph in this dataset (meV/atom): 1118.6

DFT (PBE-GGA) results for a relaxed SrAs2PO8 crystal.

Lattice parameters (Å, degrees): 4.8440 4.8440 8.5797 73.60 73.60 60.00
Last column: nearest neighbours and their distance in Å.
Positions (direct):
Sr (0.0000, 0.0000, 0.0000)  6 O 2.86
As (0.7619, 0.7619, 0.7142)  4 O 1.71-1.74
As (0.2381, 0.2381, 0.2858)  4 O 1.71-1.74
P (0.5000, 0.5000, 0.5000)  6 O 1.88
O (0.6917, 0.6917, 0.9250)  1 As 1.71
O (0.3083, 0.3083, 0.0750)  1 As 1.71
O (0.5357, 0.2642, 0.3484)  1 As 1.74, 1 P 1.88
O (0.7358, 0.4643, 0.6516)  1 As 1.74, 1 P 1.88
O (0.1483, 0.7358, 0.6516)  1 As 1.74, 1 P 1.88
O (0.2642, 0.8517, 0.3484)  1 As 1.74, 1 P 1.88
O (0.8517, 0.5357, 0.3484)  1 As 1.74, 1 P 1.88
O (0.4643, 0.1483, 0.6516)  1 As 1.74, 1 P 1.88

Values from the calculation:
Size of the total moment (μB per formula unit): 0.00
Energy (eV for the cell shown): -72.1
Formation energy (no corrections) (kJ per mole of atoms): -129

DFT (PBE-GGA) results for a relaxed Sr6AsP2O crystal.

Lattice parameters (Å, degrees): 7.1300 7.9106 10.5855 90.00 91.21 90.00
Last column: nearest neighbours and their distance in Å.
Positions (direct):
Sr (0.2963, 0.6742, 0.0699)  1 O 2.62
Sr (0.7963, 0.8258, 0.5699)  1 O 2.62
Sr (0.7037, 0.3258, 0.9301)  1 O 2.62
Sr (0.2037, 0.1742, 0.4301)  1 O 2.62
Sr (0.3349, 0.7013, 0.4260)  1 O 2.75, 1 As 2.99
Sr (0.8349, 0.7987, 0.9260)  1 O 2.75, 1 As 2.99
Sr (0.6651, 0.2987, 0.5740)  1 O 2.75, 1 As 2.99
Sr (0.1651, 0.2013, 0.0740)  1 O 2.75, 1 As 2.99
Sr (0.8564, 0.5564, 0.2344)  1 O 2.74, 1 As 3.00
Sr (0.3564, 0.9436, 0.7344)  1 O 2.74, 1 As 3.00
Sr (0.1436, 0.4436, 0.7656)  1 O 2.74, 1 As 3.00
Sr (0.6436, 0.0564, 0.2656)  1 O 2.74, 1 As 3.00
As (0.5000, 0.0000, 0.0000)  6 Sr 2.99-3.06
As (0.0000, 0.5000, 0.5000)  6 Sr 2.99-3.06
P (0.0444, 0.9055, 0.2494)  6 Sr 3.06-3.21
P (0.5444, 0.5945, 0.7494)  6 Sr 3.06-3.21
P (0.9556, 0.0945, 0.7506)  6 Sr 3.06-3.21
P (0.4556, 0.4055, 0.2506)  6 Sr 3.06-3.21
O (0.5000, 0.0000, 0.5000)  6 Sr 2.62-2.75
O (0.0000, 0.5000, 0.0000)  6 Sr 2.62-2.75

Values from the calculation:
Size of the total moment (μB per formula unit): 0.93
Energy (eV for the cell shown): -85.8
Formation energy (no corrections) (kJ per mole of atoms): -119

DFT (PBE-GGA) results for a relaxed SrAsP2O8 crystal.

Lattice parameters (Å, degrees): 4.7783 4.7783 8.2517 73.17 73.17 60.00
Last column: nearest neighbours and their distance in Å.
Positions (direct):
Sr (0.0000, 0.0000, 0.0000)  12 O 2.81-3.11
As (0.5000, 0.5000, 0.5000)  6 O 2.04
P (0.7559, 0.7559, 0.7324)  4 O 1.53-1.56
P (0.2441, 0.2441, 0.2676)  4 O 1.53-1.56
O (0.6902, 0.6902, 0.9295)  1 P 1.53
O (0.3098, 0.3098, 0.0705)  1 P 1.53
O (0.5187, 0.2516, 0.3297)  1 P 1.56
O (0.7484, 0.4813, 0.6703)  1 P 1.56
O (0.1000, 0.7484, 0.6703)  1 P 1.56
O (0.2516, 0.9000, 0.3297)  1 P 1.56
O (0.9000, 0.5187, 0.3297)  1 P 1.56
O (0.4813, 0.1000, 0.6703)  1 P 1.56

Values from the calculation:
Size of the total moment (μB per formula unit): 0.94
Energy (eV for the cell shown): -80.8
Formation energy (no corrections) (kJ per mole of atoms): -193

DFT (PBE-GGA) results for a relaxed SrAsPO2 crystal.

Lattice parameters (Å, degrees): 4.1259 4.1259 4.7131 90.00 90.00 90.00
Last column: nearest neighbours and their distance in Å.
Positions (direct):
Sr (0.5000, 0.5000, 0.5000)  4 P 2.92, 8 O 3.13
As (0.0000, 0.0000, 0.0000)  4 O 2.06
O (0.0000, 0.5000, 0.0000)  2 As 2.06
O (0.5000, 0.0000, 0.0000)  2 As 2.06
P (0.0000, 0.0000, 0.5000)  2 As 2.36

Values from the calculation:
Size of the total moment (μB per formula unit): 0.00
Energy (eV for the cell shown): -25.8
Formation energy (no corrections) (kJ per mole of atoms): -80
Energy above the most stable polymorph in this dataset (meV/atom): 0.0

DFT (PBE-GGA) results for a relaxed SrAsP2O crystal.

Lattice parameters (Å, degrees): 5.7806 5.7806 4.2494 90.00 90.00 90.00
Last column: nearest neighbours and their distance in Å.
Positions (direct):
Sr (0.0000, 0.0000, 0.0000)  2 O 2.12
As (0.5000, 0.5000, 0.5000)  8 P 3.59
O (0.0000, 0.0000, 0.5000)  2 Sr 2.12
P (0.0000, 0.5000, 0.0000)  2 Sr 2.89
P (0.5000, 0.0000, 0.0000)  2 Sr 2.89

Values from the calculation:
Size of the total moment (μB per formula unit): 2.67
Energy (eV for the cell shown): -17.5
Formation energy (no corrections) (kJ per mole of atoms): 88
Energy above the most stable polymorph in this dataset (meV/atom): 1145.0

DFT (PBE-GGA) results for a relaxed TaAsPO2 crystal.

Lattice parameters (Å, degrees): 3.8757 3.8757 5.4062 90.00 90.00 90.00
Last column: nearest neighbours and their distance in Å.
Positions (direct):
P (0.0000, 0.0000, 0.5000)  2 Ta 2.70, 4 As 2.74
As (0.5000, 0.5000, 0.5000)  4 P 2.74
O (0.0000, 0.5000, 0.0000)  2 Ta 1.94
O (0.5000, 0.0000, 0.0000)  2 Ta 1.94
Ta (0.0000, 0.0000, 0.0000)  4 O 1.94

Values from the calculation:
Size of the total moment (μB per formula unit): 1.01
Energy (eV for the cell shown): -37.8
Formation energy (no corrections) (kJ per mole of atoms): -115
Energy above the most stable polymorph in this dataset (meV/atom): 0.0